{
  "formula": "Cs2In4GaPb3",
  "functional": "PBE",
  "state": "optimized geometry",
  "cell": [[-0.263, 4.868, -2.104], [-4.315, -1.421, -2.748], [-7.259, 3.705, 9.480]],
  "species": ["In", "In", "In", "In", "Ga", "Cs", "Cs", "Pb", "Pb", "Pb"],
  "fractional_positions": [[0.500, 0.500, 0.000], [0.000, 0.000, 0.000], [0.000, 0.500, 0.380], [0.500, 0.000, 0.620], [0.500, 0.500, 0.500], [0.000, 0.500, 0.749], [0.500, 0.000, 0.251], [0.500, 0.000, 0.866], [0.000, 0.500, 0.134], [0.000, 0.000, 0.500]],
  "formation_enthalpy_0k_ev_per_atom": -0.09
}

***

{
  "formula": "BeCoRhS2",
  "functional": "PBE",
  "state": "optimized geometry",
  "cell": [[-1.406, 3.415, 2.012], [-3.468, -0.123, -2.216], [-1.778, -2.451, 2.919]],
  "species": ["Be", "S", "S", "Co", "Rh"],
  "fractional_positions": [[0.000, 0.000, 0.000], [0.500, 0.000, 0.000], [0.000, 0.000, 0.500], [0.500, 0.500, 0.500], [0.000, 0.500, 0.000]],
  "e_form_raw_ev_per_atom": 0.6591
}

***

{
  "formula": "BaZnGeAu6",
  "functional": "PBE",
  "state": "optimized geometry",
  "cell": [[-5.441, -8.174, 1.790], [4.641, -1.849, 5.661], [-2.674, 7.811, -0.290]],
  "species": ["Au", "Au", "Au", "Au", "Au", "Au", "Au", "Au", "Au", "Au", "Au", "Au", "Zn", "Zn", "Ba", "Ba", "Ge", "Ge"],
  "fractional_positions": [[0.141, 0.826, 0.755], [0.859, 0.174, 0.245], [0.859, 0.571, 0.245], [0.678, 0.928, 0.356], [0.385, 0.174, 0.245], [0.385, 0.571, 0.245], [0.317, 0.567, 0.633], [0.322, 0.072, 0.644], [0.615, 0.826, 0.755], [0.615, 0.429, 0.755], [0.141, 0.429, 0.755], [0.683, 0.433, 0.367], [0.500, 0.500, 0.000], [0.500, 0.000, 0.000], [0.988, 0.238, 0.975], [0.012, 0.762, 0.025], [0.500, 0.000, 0.500], [0.000, 0.000, 0.500]],
  "formation_enthalpy_0k_ev_per_atom": -0.17
}

***

no.,density (kg/m³),DOS at the Fermi energy (states/eV/cell)
1,6673,3.75
2,5357,8.43
3,11908,5.90